# MnBeRu3 | Alexandria via LeMat-Bulk | PBEsol | relaxed
data_MnBeRu3
_cell_length_a 4.289
_cell_length_b 4.289
_cell_length_c 4.289
_cell_angle_alpha 90.00
_cell_angle_beta 90.00
_cell_angle_gamma 90.00
_space_group_name_H-M_alt 'P m -3 m'
_space_group_IT_number 221
_space_group_name_Hall '-P 4 2 3'
loop_
_atom_site_label
_atom_site_type_symbol
_atom_site_fract_x
_atom_site_fract_y
_atom_site_fract_z
_atom_site_occupancy
Mn1 Mn 0.000 0.000 0.000 1
Be1 Be 0.500 0.500 0.500 1
Ru1 Ru 0.000 0.000 0.500 1
# Fermi-level density of states (states/eV/atom): 1.102
# ΔH_f (0 K) (meV per atom): 1536


# MnBe4Ru | Alexandria via LeMat-Bulk | PBEsol | relaxed
data_MnBe4Ru
_cell_length_a 5.996
_cell_length_b 5.996
_cell_length_c 5.996
_cell_angle_alpha 90.00
_cell_angle_beta 90.00
_cell_angle_gamma 90.00
_space_group_name_H-M_alt 'F -4 3 m'
_space_group_IT_number 216
_space_group_name_Hall 'F -4 2 3'
loop_
_atom_site_label
_atom_site_type_symbol
_atom_site_fract_x
_atom_site_fract_y
_atom_site_fract_z
_atom_site_occupancy
Mn1 Mn 0.000 0.000 0.000 1
Be1 Be 0.125 0.125 0.625 1
Ru1 Ru 0.250 0.250 0.250 1
# Fermi-level density of states (states/eV/atom): 0.340
# ΔH_f (0 K) (meV per atom): -324


# MnBeRu | Alexandria via LeMat-Bulk | PBEsol | relaxed
data_MnBeRu
_cell_length_a 5.347
_cell_length_b 5.347
_cell_length_c 5.347
_cell_angle_alpha 90.00
_cell_angle_beta 90.00
_cell_angle_gamma 90.00
_space_group_name_H-M_alt 'F -4 3 m'
_space_group_IT_number 216
_space_group_name_Hall 'F -4 2 3'
loop_
_atom_site_label
_atom_site_type_symbol
_atom_site_fract_x
_atom_site_fract_y
_atom_site_fract_z
_atom_site_occupancy
Mn1 Mn 0.000 0.000 0.000 1
Be1 Be 0.000 0.000 0.500 1
Ru1 Ru 0.250 0.250 0.750 1
# Fermi-level density of states (states/eV/atom): 1.021
# ΔH_f (0 K) (meV per atom): 493